This record from Alexandria via LeMat-Bulk describes a geometry-optimized YSbO3 structure. The functional is PBEsol.

Output
Theoretical density ... 5.53 g cm⁻³
Formation energy from raw total energies ... -1.55 eV per atom

a = 4.2662 Å, b = 4.2662 Å, c = 4.2662 Å
α = 90.00°, β = 90.00°, γ = 90.00°
With the nearest neighbours (Å) after each atom.
Fractional positions:
1 Y 0.0000 0.0000 0.0000  6 O 2.13
2 Sb 0.5000 0.5000 0.5000  12 O 3.02
3 O 0.0000 0.0000 0.5000  2 Y 2.13
4 O 0.0000 0.5000 0.0000  2 Y 2.13
5 O 0.5000 0.0000 0.0000  2 Y 2.13